Sr3Zn2CrO6 (GGA+U, relaxed); VASP energy = -5.6612 eV/atom; SG = P-3m1, No. 164
1.0
5.7857 0.0000 0.0000
-2.8929 5.0106 0.0000
0.0000 0.0000 6.4355
Sr Zn Cr O
3 2 1 6
Cartesian
0.0000 0.0000 0.0000
0.0000 3.3404 4.0391
2.8929 1.6702 2.3964
0.0000 3.3404 1.1175
2.8929 1.6702 5.3180
0.0000 0.0000 3.2178
0.0000 1.6233 1.9962
-1.4870 4.1989 1.9962
1.4058 0.8117 4.4393
1.4870 4.1989 1.9962
4.3799 0.8117 4.4393
2.8929 3.3873 4.4393